An optimized crystal structure of LiLa2CuN, computed with PBE.

abc: 5.086 5.086 4.030
angles: 90.00 90.00 90.00
Space group P4/mmm (No. 123)
Inequivalent atoms, fractional coordinates:
Li1 0.000 0.000 0.000 (multiplicity 1)
La1 0.000 0.500 0.500 (multiplicity 2)
Cu1 0.500 0.500 0.000 (multiplicity 1)
N1 0.000 0.000 0.500 (multiplicity 1)

Values from the calculation:
DOS at the Fermi energy (states/eV/atom): 0.9310
Uncorrected energy (eV per atom): -5.3582
E_form (uncorrected) (eV/f.u.): -2.60
Energy above the most stable polymorph in this dataset (meV/atom): 0

=====

An optimized crystal structure of LiCu7Pd4, computed with PBE.

abc: 3.983 5.130 8.466
angles: 100.99 103.32 90.14
Space group P-1 (No. 2)
Inequivalent atoms, fractional coordinates:
Li1 0.000 0.000 0.000 (multiplicity 1)
Cu1 0.000 0.500 0.000 (multiplicity 1)
Cu2 0.229 0.348 0.457 (multiplicity 2)
Cu3 0.300 0.960 0.599 (multiplicity 2)
Cu4 0.447 0.185 0.894 (multiplicity 2)
Pd1 0.149 0.741 0.300 (multiplicity 2)
Pd2 0.398 0.643 0.795 (multiplicity 2)

Values from the calculation:
DOS at the Fermi energy (states/eV/atom): 0.2898
Uncorrected energy (eV per atom): -4.3329
Energy of formation from the pure elements (eV per atom): -0.0530
Energy above the most stable polymorph in this dataset (meV/atom): 0

=====

An optimized crystal structure of ScMn2PbI, computed with PBE.

abc: 5.209 5.209 5.723
angles: 90.00 90.00 90.00
Space group P4/mmm (No. 123)
Inequivalent atoms, fractional coordinates:
Sc1 0.000 0.000 0.000 (multiplicity 1)
Mn1 0.000 0.500 0.500 (multiplicity 2)
Pb1 0.000 0.000 0.500 (multiplicity 1)
I1 0.500 0.500 0.000 (multiplicity 1)

Values from the calculation:
DOS at the Fermi energy (states/eV/atom): 1.4616
Uncorrected energy (eV per atom): -5.2441
E_form (uncorrected) (eV/f.u.): 3.71